1.
DFT (PBE-GGA) results for a relaxed structure of K2Rb9Hg. Values from VASP.

Total energy in eV/atom: -0.943
Volume in Å³ per atom: 78.0
SG: P4/mmm (123)
Calculated density in g/cm3: 1.9

```
&SYSTEM
  ibrav = 0, nat = 12, ntyp = 3
/
ATOMIC_SPECIES
Hg 200.59 Hg.upf
Rb 85.47 Rb.upf
K 39.10 K.upf
ATOMIC_POSITIONS angstrom
Hg 0.000 0.000 0.000
Rb 0.000 3.394 2.867
Rb 3.394 0.000 10.158
K 0.000 0.000 6.526
Rb 0.000 3.394 10.158
Rb 3.394 3.394 13.817
Rb 3.394 0.000 2.867
Rb 3.394 3.394 6.500
K 0.000 0.000 13.791
Rb 3.394 3.394 0.000
Rb 3.394 0.000 17.449
Rb 0.000 3.394 17.449
CELL_PARAMETERS angstrom
6.788 0.000 0.000
0.000 6.788 0.000
0.000 0.000 20.317
```

2.
DFT (PBE-GGA) results for a relaxed structure of K6Rb10Hg. Values from VASP.

Total energy in eV/atom: -0.975
Volume in Å³ per atom: 80.0
SG: P-31m (162)
Calculated density in g/cm3: 1.6

```
&SYSTEM
  ibrav = 0, nat = 17, ntyp = 3
/
ATOMIC_SPECIES
Rb 85.47 Rb.upf
K 39.10 K.upf
Hg 200.59 Hg.upf
ATOMIC_POSITIONS angstrom
Rb 3.996 1.457 -6.380
K -0.914 -3.640 -9.660
Rb 2.280 -2.062 -2.251
Hg -0.789 -4.138 -1.440
Rb -0.052 1.208 -10.372
K 4.069 -3.767 1.688
Rb 7.679 -6.126 -7.206
Rb 6.753 -5.508 -1.637
K 3.464 -6.164 -4.806
Rb 8.118 -5.306 3.872
Rb 1.391 -7.167 -0.766
K 6.495 -2.024 -4.651
K 5.440 -8.706 1.418
K -0.215 -0.351 -5.782
Rb 3.207 -2.680 -7.820
Rb 7.542 -1.370 -0.197
Rb -1.077 -5.199 -5.070
CELL_PARAMETERS angstrom
-1.579 -8.276 -2.879
0.450 4.285 -12.563
11.088 -4.198 5.986
```

3.
DFT (PBE-GGA) results for a relaxed structure of K2RbHg. Values from VASP.

Total energy in eV/atom: -0.970
Volume in Å³ per atom: 56.7
SG: P4/mmm (123)
Calculated density in g/cm3: 2.7

```
&SYSTEM
  ibrav = 0, nat = 4, ntyp = 3
/
ATOMIC_SPECIES
K 39.10 K.upf
Hg 200.59 Hg.upf
Rb 85.47 Rb.upf
ATOMIC_POSITIONS angstrom
K -5.648 -6.037 4.611
Hg 0.655 -2.228 -2.116
Rb -2.774 -5.893 0.683
K -1.209 -1.292 0.987
CELL_PARAMETERS angstrom
-1.780 -1.285 -3.863
3.090 -3.172 -0.369
-6.857 -7.330 5.598
```

4.
DFT (PBE-GGA) results for a relaxed structure of K5RbHg6. Values from VASP.

Total energy in eV/atom: -0.911
Volume in Å³ per atom: 40.0
SG: P2/m (10)
Calculated density in g/cm3: 5.1

```
&SYSTEM
  ibrav = 0, nat = 12, ntyp = 3
/
ATOMIC_SPECIES
K 39.10 K.upf
Hg 200.59 Hg.upf
Rb 85.47 Rb.upf
ATOMIC_POSITIONS angstrom
K 1.468 8.229 5.607
K -0.001 4.114 -0.001
Hg 0.298 5.705 3.256
Hg 5.190 2.527 4.958
K 2.044 4.116 6.075
Rb 0.000 0.000 0.000
Hg 0.300 2.524 3.257
K 4.021 0.003 2.607
Hg 5.188 5.709 4.958
Hg 2.285 1.642 8.738
K 3.445 4.117 2.139
Hg 3.203 6.590 -0.524
CELL_PARAMETERS angstrom
6.409 0.004 -1.046
-0.002 8.228 -0.001
-0.919 0.000 9.261
```

Question: Which of these has the lowest calculated density?
Answer: K6Rb10Hg

Question: The lowest total energy belongs to which entry?
Answer: K6Rb10Hg